Below is an optimized crystal structure of CsInAu3, with properties calculated at the PBE-GGA level.

Cell lengths 8.0329, 8.8598, 9.7004 Å; angles 111.86, 90.00, 90.00 degrees
Fractional positions:
Cs 0.8703 0.6265 0.2171
Cs 0.1297 0.3735 0.7829
Cs 0.3703 0.3735 0.2829
Cs 0.6297 0.6265 0.7171
In 0.2577 0.9025 0.5903
In 0.7423 0.0975 0.4097
In 0.7577 0.0975 0.9097
In 0.2423 0.9025 0.0903
Au 0.0953 0.0171 0.3827
Au 0.9047 0.9829 0.6173
Au 0.5953 0.9829 0.1173
Au 0.4047 0.0171 0.8827
Au 0.4396 0.9199 0.3521
Au 0.5604 0.0801 0.6479
Au 0.9396 0.0801 0.1479
Au 0.0604 0.9199 0.8521
Au 0.0542 0.6478 0.5802
Au 0.9458 0.3522 0.4198
Au 0.5542 0.3522 0.9198
Au 0.4458 0.6478 0.0802

Values from the calculation:
SG: P2_1/c, No. 14
Volume: 641 Å³ per cell
DFT formation energy: -0.239 eV per atom
Spin magnetization: 0.00 Bohr magnetons per cell
Energy above the lowest structure with this stoichiometry: 0.00 kJ/mol of atoms

---

Below is an optimized crystal structure of KMgTc, with properties calculated at the PBE-GGA level.

Cell lengths 8.5616, 8.5616, 8.5616 Å; angles 161.01, 161.01, 26.98 degrees
Fractional positions:
K 0.0121 0.0121 0.0000
Mg 0.3060 0.3060 0.0000
Tc 0.6819 0.6819 0.0000

Values from the calculation:
SG: I4mm, No. 107
Volume: 66 Å³ per cell
DFT formation energy: 0.819 eV per atom
Spin magnetization: 0.00 Bohr magnetons per cell
Energy above the lowest structure with this stoichiometry: 0.00 kJ/mol of atoms

---

- energy above the lowest structure with this stoichiometry of number 2 (KMgTc)?
  0.00 kJ/mol of atoms